Computed, not measured: a relaxed structure of FeSnPb2O5 at the PBE with a Hubbard U level of DFT.

Computed properties:
- Energy: -0.217 Ha/atom
- Magnetic moment: 0.4445 μB/atom

Cell lengths 3.2906, 6.7382, 13.0946 Å; angles 90.00, 90.00, 104.13 degrees
Positions (direct):
O (0.9669, 0.9339, 0.5517)
Pb (0.8084, 0.6169, 0.8163)
O (0.2695, 0.5390, 0.6215)
O (0.3354, 0.6707, 0.9476)
O (0.7305, 0.4610, 0.1215)
Sn (0.8060, 0.6120, 0.5296)
O (0.3464, 0.6927, 0.4258)
Fe (0.5057, 0.0114, 0.4450)
O (0.6646, 0.3293, 0.4476)
Pb (0.9406, 0.8812, 0.1989)
Sn (0.1940, 0.3880, 0.0296)
Pb (0.0594, 0.1188, 0.6989)
O (0.0331, 0.0661, 0.0517)
Fe (0.4943, 0.9886, 0.9450)
O (0.6536, 0.3073, 0.9258)
O (0.4687, 0.9375, 0.7876)
O (0.5313, 0.0625, 0.2876)
Pb (0.1916, 0.3831, 0.3163)